Entry from Alexandria: an optimized crystal structure of Tb5Er2Tm (PBE).

## Properties
- energy above the lowest structure with this stoichiometry (meV per atom) = 136
- symmetry = P-1
- E (Ry per atom) = -0.32645
- DFT formation energy (eV/atom) = 0.1519

Unit cell a=6.578 b=8.827 c=9.400 alpha=87.93 beta=84.09 gamma=68.18
Fractional positions:
Tb 0.048 0.239 0.111
Tb 0.210 0.502 0.414
Tb 0.287 0.502 0.085
Tb 0.287 0.761 0.609
Tb 0.346 0.309 0.750
Tb 0.654 0.691 0.250
Tb 0.713 0.239 0.391
Tb 0.713 0.498 0.915
Tb 0.790 0.498 0.586
Tb 0.952 0.761 0.889
Er 0.275 0.105 0.421
Er 0.381 0.894 0.921
Er 0.619 0.106 0.079
Er 0.725 0.895 0.579
Tm 0.064 0.872 0.250
Tm 0.936 0.128 0.750